Below is a geometry-optimized Dy2AlGa4Pt3 structure, with properties calculated at the PBE level.

## Properties
Uncorrected energy (eV/atom): -5.200
Density of states at the Fermi level (states/eV per cell): 4.405

Cell and atoms, written as POSCAR:
```
Dy2AlGa4Pt3
1.0
4.066 0.000 0.000
0.000 4.066 0.000
0.000 0.000 11.296
Al Dy Pt Ga
1 2 3 4
direct
0.500 0.500 0.500
0.500 0.000 0.249
0.000 0.500 0.751
0.500 0.000 0.860
0.000 0.000 0.500
0.000 0.500 0.140
0.000 0.000 0.000
0.500 0.500 0.000
0.000 0.500 0.359
0.500 0.000 0.641
```